Record 1
Computed, not measured: crystalline CaTeO3 at its relaxed geometry at the PBE-GGA level of DFT.

a b c (Å): 6.618 7.008 8.596
angles (deg): 90.00 126.41 90.00
Fractional coordinates of all 20 atoms:
Ca: 0.140 0.116 0.376
Ca: 0.140 0.384 0.876
Ca: 0.860 0.616 0.124
Ca: 0.860 0.884 0.624
Te: 0.371 0.664 0.599
Te: 0.371 0.836 0.099
Te: 0.629 0.164 0.901
Te: 0.629 0.336 0.401
O: 0.078 0.682 0.981
O: 0.078 0.818 0.481
O: 0.206 0.038 0.919
O: 0.206 0.462 0.419
O: 0.406 0.574 0.823
O: 0.406 0.926 0.323
O: 0.594 0.074 0.677
O: 0.594 0.426 0.177
O: 0.794 0.538 0.581
O: 0.794 0.962 0.081
O: 0.922 0.182 0.519
O: 0.922 0.318 0.019

## Properties
The value obtained for the density of states at the Fermi level is 0.0000 states/eV/atom. The value obtained for the formation energy without anion corrections is -9.71 eV/f.u. As for the total magnetic moment: 0.000 μB per formula unit. As for the symmetry: No. 14.


Record 2
Computed, not measured: crystalline U5Ta2S12 at its relaxed geometry at the PBE-GGA level of DFT.

a b c (Å): 8.319 8.319 8.417
angles (deg): 104.99 104.99 48.59
Fractional coordinates of all 19 atoms:
U: 0.000 0.000 0.000
U: 0.305 0.305 0.155
U: 0.319 0.319 0.656
U: 0.681 0.681 0.344
U: 0.695 0.695 0.845
Ta: 0.292 0.708 0.500
Ta: 0.708 0.292 0.500
S: 0.001 0.001 0.310
S: 0.076 0.588 0.413
S: 0.095 0.601 0.927
S: 0.399 0.905 0.073
S: 0.412 0.924 0.587
S: 0.495 0.495 0.255
S: 0.505 0.505 0.745
S: 0.588 0.076 0.413
S: 0.601 0.095 0.927
S: 0.905 0.399 0.073
S: 0.924 0.412 0.587
S: 0.999 0.999 0.690

## Properties
The value obtained for the density of states at the Fermi level is 2.0190 states/eV/atom. The value obtained for the formation energy without anion corrections is -24.25 eV/f.u. As for the total magnetic moment: 11.429 μB per formula unit. As for the symmetry: No. 12.


Record 3
Computed, not measured: crystalline TlTcF2 at its relaxed geometry at the PBE-GGA level of DFT.

a b c (Å): 6.406 6.406 6.406
angles (deg): 90.00 90.00 90.00
Fractional coordinates of all 16 atoms:
Tl: 0.000 0.000 0.000
Tl: 0.000 0.500 0.500
Tl: 0.500 0.000 0.500
Tl: 0.500 0.500 0.000
Tc: 0.000 0.000 0.500
Tc: 0.000 0.500 0.000
Tc: 0.500 0.000 0.000
Tc: 0.500 0.500 0.500
F: 0.250 0.250 0.250
F: 0.250 0.250 0.750
F: 0.250 0.750 0.250
F: 0.250 0.750 0.750
F: 0.750 0.250 0.250
F: 0.750 0.250 0.750
F: 0.750 0.750 0.250
F: 0.750 0.750 0.750

## Properties
The value obtained for the density of states at the Fermi level is 0.6980 states/eV/atom. The value obtained for the formation energy without anion corrections is -1.86 eV/f.u. As for the total magnetic moment: 4.000 μB per formula unit. As for the symmetry: No. 225.


Record 4
Computed, not measured: crystalline Dy6ScIn at its relaxed geometry at the PBE-GGA level of DFT.

a b c (Å): 4.859 4.859 9.875
angles (deg): 90.00 90.00 90.00
Fractional coordinates of all 8 atoms:
Dy: 0.000 0.000 0.000
Dy: 0.000 0.000 0.500
Dy: 0.000 0.500 0.249
Dy: 0.000 0.500 0.751
Dy: 0.500 0.000 0.249
Dy: 0.500 0.000 0.751
Sc: 0.500 0.500 0.500
In: 0.500 0.500 0.000

## Properties
The value obtained for the density of states at the Fermi level is 1.2076 states/eV/atom. As for the total magnetic moment: 0.000 μB per formula unit. The calculation puts the final energy at -4.7000 eV/atom. As for the symmetry: No. 123.


Record 5
Computed, not measured: crystalline K3Sm3AlO8 at its relaxed geometry at the PBE-GGA level of DFT.

a b c (Å): 7.451 7.451 7.451
angles (deg): 55.07 55.07 55.07
Fractional coordinates of all 15 atoms:
K: 0.000 0.500 0.500
K: 0.500 0.000 0.500
K: 0.500 0.500 0.000
Sm: 0.000 0.000 0.500
Sm: 0.000 0.500 0.000
Sm: 0.500 0.000 0.000
Al: 0.500 0.500 0.500
O: 0.230 0.230 0.230
O: 0.266 0.701 0.701
O: 0.299 0.299 0.734
O: 0.299 0.734 0.299
O: 0.701 0.266 0.701
O: 0.701 0.701 0.266
O: 0.734 0.299 0.299
O: 0.770 0.770 0.770

## Properties
The value obtained for the density of states at the Fermi level is 0.7323 states/eV/atom. The value obtained for the formation energy without anion corrections is -37.35 eV/f.u. As for the total magnetic moment: 1.136 μB per formula unit. As for the symmetry: No. 166.


Record 6
Computed, not measured: crystalline BaZrCo at its relaxed geometry at the PBE-GGA level of DFT.

a b c (Å): 4.103 4.889 10.029
angles (deg): 90.00 90.00 90.00
Fractional coordinates of all 6 atoms:
Ba: 0.250 0.250 0.177
Ba: 0.750 0.750 0.823
Zr: 0.250 0.250 0.550
Zr: 0.750 0.750 0.450
Co: 0.250 0.750 0.606
Co: 0.750 0.250 0.394

## Properties
The value obtained for the density of states at the Fermi level is 1.0546 states/eV/atom. As for the total magnetic moment: 0.000 μB per formula unit. The calculation puts the final energy at -5.7409 eV/atom. As for the symmetry: No. 59.


Record 7
Computed, not measured: crystalline TbDy3Sc2 at its relaxed geometry at the PBE-GGA level of DFT.

a b c (Å): 8.626 8.626 5.435
angles (deg): 90.00 90.00 68.26
Fractional coordinates of all 12 atoms:
Tb: 0.225 0.775 0.750
Tb: 0.775 0.225 0.250
Dy: 0.127 0.390 0.250
Dy: 0.390 0.127 0.750
Dy: 0.406 0.594 0.250
Dy: 0.594 0.406 0.750
Dy: 0.610 0.873 0.250
Dy: 0.873 0.610 0.750
Sc: 0.013 0.199 0.750
Sc: 0.199 0.013 0.250
Sc: 0.801 0.987 0.750
Sc: 0.987 0.801 0.250

## Properties
The value obtained for the density of states at the Fermi level is 1.8144 states/eV/atom. As for the total magnetic moment: 0.000 μB per formula unit. The calculation puts the final energy at -4.8868 eV/atom. As for the symmetry: No. 63.


Record 8
Computed, not measured: crystalline NaTaCd at its relaxed geometry at the PBE-GGA level of DFT.

a b c (Å): 5.445 2.950 8.466
angles (deg): 90.00 105.99 90.00
Fractional coordinates of all 6 atoms:
Na: 0.000 0.000 0.000
Na: 0.498 0.500 0.995
Ta: 0.446 0.000 0.364
Ta: 0.666 0.500 0.631
Cd: 0.182 0.000 0.664
Cd: 0.930 0.500 0.330

## Properties
The value obtained for the density of states at the Fermi level is 0.8801 states/eV/atom. As for the total magnetic moment: 0.000 μB per formula unit. The calculation puts the final energy at -4.3042 eV/atom. As for the symmetry: No. 6.